Here is a relaxed structure of LiGdSeO from OQMD via LeMat-Bulk. Energies are from PBE.

Calculated values
The space-group type is P4/nmm, No. 129.

Unit cell a=3.938 b=3.938 c=8.847 alpha=90.00 beta=90.00 gamma=90.00
Sites, in units of the cell vectors:
O 0.250 0.750 0.000
Li 0.250 0.750 0.500
Gd 0.250 0.250 0.128
Se 0.750 0.750 0.322
Se 0.250 0.250 0.678
Gd 0.750 0.750 0.872
O 0.750 0.250 0.000
Li 0.750 0.250 0.500



Here is a relaxed structure of Dy2ZnSnIr4 from OQMD via LeMat-Bulk. Energies are from PBE.

Calculated values
The space-group type is P4/mmm, No. 123.

Unit cell a=4.650 b=4.650 c=6.576 alpha=90.00 beta=90.00 gamma=90.00
Sites, in units of the cell vectors:
Dy 0.500 0.500 0.000
Ir 0.000 0.500 0.253
Ir 0.500 0.000 0.253
Ir 0.000 0.500 0.747
Ir 0.500 0.000 0.747
Dy 0.000 0.000 0.500
Zn 0.500 0.500 0.500
Sn 0.000 0.000 0.000



Here is a relaxed structure of TaCuHgB from OQMD via LeMat-Bulk. Energies are from PBE.

Calculated values
The space-group type is F-43m, No. 216.

Unit cell a=4.381 b=4.381 c=4.381 alpha=60.00 beta=60.00 gamma=60.00
Sites, in units of the cell vectors:
Hg 0.500 0.500 0.500
B 0.000 0.000 0.000
Ta 0.250 0.250 0.250
Cu 0.750 0.750 0.750



Here is a relaxed structure of ErAgH14C20N6O10 from OQMD via LeMat-Bulk. Energies are from PBE.

Calculated values
The space-group type is P-1, No. 2.

Unit cell a=7.442 b=9.834 c=14.459 alpha=91.98 beta=93.47 gamma=108.66
Sites, in units of the cell vectors:
C 0.110 0.039 0.672
C 0.227 0.967 0.525
O 0.703 0.584 0.412
N 0.435 0.806 0.005
O 0.549 0.727 0.722
N 0.180 0.885 0.762
H 0.836 0.307 0.135
H 0.592 0.993 0.721
C 0.236 0.744 0.013
N 0.893 0.003 0.243
N 0.819 0.046 0.381
H 0.545 0.166 0.144
Ag 0.949 0.017 0.874
C 0.026 0.331 0.889
O 0.334 0.628 0.392
C 0.151 0.386 0.968
C 0.080 0.373 0.056
C 0.890 0.961 0.328
C 0.625 0.255 0.650
H 0.553 0.822 0.148
Er 0.523 0.482 0.714
C 0.833 0.263 0.899
O 0.297 0.416 0.588
C 0.256 0.850 0.479
H 0.240 0.190 0.521
C 0.678 0.890 0.605
C 0.356 0.996 0.348
C 0.632 0.747 0.645
C 0.213 0.434 0.139
H 0.092 0.523 0.411
C 0.920 0.627 0.944
C 0.744 0.150 0.521
C 0.742 0.903 0.516
O 0.963 0.457 0.392
C 0.258 0.097 0.484
O 0.846 0.571 0.780
C 0.773 0.033 0.475
O 0.531 0.241 0.723
H 0.455 0.834 0.856
O 0.743 0.562 0.216
O 0.019 0.727 0.273
C 0.974 0.669 0.111
O 0.257 0.438 0.784
O 0.667 0.645 0.602
C 0.787 0.566 0.861
O 0.154 0.429 0.220
C 0.644 0.004 0.652
H 0.814 0.547 0.405
H 0.261 0.776 0.164
C 0.886 0.311 0.066
O 0.333 0.355 0.398
C 0.476 0.152 0.074
H 0.302 0.438 0.960
N 0.181 0.954 0.619
H 0.024 0.563 0.674
O 0.981 0.273 0.727
N 0.741 0.904 0.042
C 0.424 0.158 0.925
O 0.469 0.759 0.277
C 0.674 0.133 0.609
O 0.037 0.543 0.608
H 0.228 0.747 0.510
Er 0.477 0.518 0.286
H 0.698 0.562 0.040
C 0.909 0.653 0.208
N 0.291 0.093 0.052
O 0.390 0.492 0.127
H 0.067 0.129 0.650
O 0.666 0.372 0.608
C 0.222 0.860 0.678
H 0.285 0.779 0.658
C 0.114 0.689 0.934
C 0.764 0.256 0.987
N 0.820 0.115 0.238
C 0.322 0.110 0.395
C 0.576 0.842 0.075
H 0.715 0.221 0.342
H 0.164 0.693 0.865
C 0.778 0.140 0.322
Ag 0.051 0.983 0.126
C 0.375 0.745 0.350
C 0.326 0.867 0.391
H 0.186 0.453 0.595
C 0.368 0.253 0.355
N 0.565 0.194 0.995
C 0.849 0.614 0.032
O 0.451 0.273 0.278
H 0.447 0.178 0.852
H 0.321 0.413 0.522
H 0.760 0.810 0.479
C 0.091 0.347 0.792
N 0.709 0.907 0.948
H 0.772 0.253 0.490
H 0.933 0.871 0.350
N 0.259 0.096 0.958
H 0.908 0.477 0.589
H 0.976 0.437 0.326
N 0.107 0.997 0.757
O 0.610 0.508 0.873
H 0.679 0.587 0.478
H 0.408 0.007 0.279
C 0.167 0.737 0.101
H 0.739 0.224 0.836
C 0.524 0.848 0.926



Here is a relaxed structure of TaFeNiSb from OQMD via LeMat-Bulk. Energies are from PBE.

Calculated values
The space-group type is F-43m, No. 216.

Unit cell a=4.424 b=4.424 c=4.424 alpha=60.00 beta=60.00 gamma=60.00
Sites, in units of the cell vectors:
Fe 0.750 0.750 0.750
Ni 0.500 0.500 0.500
Ta 0.250 0.250 0.250
Sb 0.000 0.000 0.000



Here is a relaxed structure of Ta4As3W2C3 from OQMD via LeMat-Bulk. Energies are from PBE.

Calculated values
The space-group type is C2/c, No. 15.

Unit cell a=5.699 b=5.699 c=12.467 alpha=103.21 beta=103.21 gamma=60.01
Sites, in units of the cell vectors:
As 0.583 0.734 0.250
W 0.637 0.472 0.415
As 0.900 0.100 0.250
C 0.670 0.160 0.500
Ta 0.700 0.864 0.596
As 0.734 0.583 0.750
C 0.330 0.840 0.500
C 0.500 0.000 0.000
Ta 0.970 0.799 0.404
Ta 0.201 0.030 0.096
As 0.100 0.900 0.750
W 0.528 0.363 0.085
Ta 0.300 0.136 0.404
C 0.160 0.670 0.000
Ta 0.136 0.300 0.904
Ta 0.864 0.700 0.096
C 0.840 0.330 0.000
As 0.417 0.266 0.750
C 0.000 0.500 0.500
Ta 0.799 0.970 0.904
W 0.363 0.528 0.585
W 0.472 0.637 0.915
Ta 0.030 0.201 0.596
As 0.266 0.417 0.250



Here is a relaxed structure of SnBiPt2 from OQMD via LeMat-Bulk. Energies are from PBE.

Calculated values
The space-group type is P-6m2, No. 187.

Unit cell a=4.281 b=4.281 c=5.571 alpha=90.00 beta=90.00 gamma=120.00
Sites, in units of the cell vectors:
Pt 0.667 0.333 0.255
Bi 0.333 0.667 0.000
Sn 0.000 0.000 0.500
Pt 0.667 0.333 0.745



Here is a relaxed structure of BeNbInFe from OQMD via LeMat-Bulk. Energies are from PBE.

Calculated values
The space-group type is F-43m, No. 216.

Unit cell a=4.414 b=4.414 c=4.414 alpha=60.00 beta=60.00 gamma=60.00
Sites, in units of the cell vectors:
In 0.000 0.000 0.000
Nb 0.250 0.250 0.250
Be 0.500 0.500 0.500
Fe 0.750 0.750 0.750



no.,total DFT energy (no corrections) (eV per atom)
1,-6.148
2,-6.716
3,-4.686
4,-6.980
5,-7.229
6,-9.913
7,-5.449
8,-5.780